# 1
The following is a DFT calculation (PBE) of an optimized crystal structure of LiNbO3.

```
LiNbO3
1.0
6.331 0.000 0.000
0.000 8.319 0.000
-0.011 0.000 9.576
Li Nb O
8 8 24
direct
0.019 0.186 0.481
0.019 0.314 0.981
0.275 0.116 0.730
0.275 0.384 0.230
0.725 0.616 0.770
0.725 0.884 0.270
0.981 0.686 0.019
0.981 0.814 0.519
0.238 0.002 0.243
0.238 0.498 0.743
0.496 0.697 0.498
0.496 0.803 0.998
0.504 0.197 0.002
0.504 0.303 0.502
0.762 0.502 0.257
0.762 0.998 0.757
0.009 0.030 0.661
0.009 0.470 0.161
0.200 0.161 0.099
0.200 0.339 0.599
0.231 0.686 0.604
0.231 0.814 0.104
0.320 0.192 0.367
0.320 0.308 0.867
0.431 0.633 0.875
0.431 0.867 0.375
0.437 0.513 0.369
0.437 0.987 0.869
0.563 0.013 0.131
0.563 0.487 0.631
0.569 0.133 0.625
0.569 0.367 0.125
0.680 0.692 0.133
0.680 0.808 0.633
0.769 0.186 0.896
0.769 0.314 0.396
0.800 0.661 0.401
0.800 0.839 0.901
0.991 0.530 0.839
0.991 0.970 0.339
```

- Energy relative to the elements, uncorrected: -2.474 eV/atom
- Crystal system: monoclinic
- Magnetization: 0.00 μB/f.u.


# 2
The following is a DFT calculation (PBE) of an optimized crystal structure of LiNbO3.

```
LiNbO3
1.0
2.801 1.617 2.396
-2.801 1.617 2.396
0.000 -3.234 2.396
Li Nb O
1 1 3
direct
0.000 0.000 0.000
0.394 0.394 0.394
0.343 0.343 0.861
0.343 0.861 0.343
0.861 0.343 0.343
```

- Energy relative to the elements, uncorrected: -2.403 eV/atom
- Crystal system: trigonal
- Magnetization: 0.00 μB/f.u.


# 3
The following is a DFT calculation (PBE) of an optimized crystal structure of Li2NbO3.

```
Li2NbO3
1.0
4.356 0.000 0.000
0.000 8.883 0.000
-0.225 0.000 5.937
Li Nb O
8 4 12
direct
0.230 0.237 0.394
0.230 0.263 0.894
0.244 0.583 0.882
0.244 0.917 0.382
0.756 0.083 0.618
0.756 0.417 0.118
0.770 0.737 0.106
0.770 0.763 0.606
0.283 0.580 0.374
0.283 0.920 0.874
0.717 0.080 0.126
0.717 0.420 0.626
0.226 0.088 0.131
0.226 0.412 0.631
0.250 0.069 0.646
0.250 0.431 0.146
0.270 0.747 0.617
0.270 0.753 0.117
0.730 0.247 0.883
0.730 0.253 0.383
0.750 0.569 0.854
0.750 0.931 0.354
0.774 0.588 0.369
0.774 0.912 0.869
```

- Energy relative to the elements, uncorrected: -2.276 eV/atom
- Crystal system: monoclinic
- Magnetization: 0.00 μB/f.u.


# 4
The following is a DFT calculation (PBE) of an optimized crystal structure of Li3NbO4.

```
Li3NbO4
1.0
-2.083 2.083 4.307
2.083 -2.083 4.307
2.083 2.083 -4.307
Li Nb O
3 1 4
direct
0.000 0.000 0.000
0.250 0.750 0.500
0.750 0.250 0.500
0.500 0.500 0.000
0.000 0.500 0.500
0.274 0.274 0.000
0.500 0.000 0.500
0.726 0.726 0.000
```

- Energy relative to the elements, uncorrected: -2.303 eV/atom
- Crystal system: tetragonal
- Magnetization: 0.00 μB/f.u.


# 5
The following is a DFT calculation (PBE) of an optimized crystal structure of LiNbO4.

```
LiNbO4
1.0
-2.647 2.647 4.316
2.647 -2.647 4.316
2.647 2.647 -4.316
Li Nb O
2 2 8
direct
0.375 0.625 0.750
0.625 0.375 0.250
0.125 0.875 0.250
0.875 0.125 0.750
0.000 0.237 0.237
0.000 0.763 0.763
0.237 0.000 0.737
0.237 0.500 0.237
0.500 0.237 0.737
0.500 0.763 0.263
0.763 0.000 0.263
0.763 0.500 0.763
```

- Energy relative to the elements, uncorrected: -1.594 eV/atom
- Crystal system: tetragonal
- Magnetization: 0.00 μB/f.u.


# 6
The following is a DFT calculation (PBE) of an optimized crystal structure of Li3NbO4.

```
Li3NbO4
1.0
6.596 0.000 0.000
0.000 5.682 0.000
0.000 0.000 5.041
Li Nb O
6 2 8
direct
0.000 0.181 0.000
0.247 0.338 0.502
0.253 0.662 0.002
0.500 0.819 0.500
0.747 0.662 0.002
0.753 0.338 0.502
0.000 0.836 0.494
0.500 0.164 0.994
0.000 0.152 0.604
0.000 0.833 0.121
0.235 0.676 0.605
0.265 0.324 0.105
0.500 0.167 0.621
0.500 0.848 0.104
0.735 0.324 0.105
0.765 0.676 0.605
```

- Energy relative to the elements, uncorrected: -2.378 eV/atom
- Crystal system: orthorhombic
- Magnetization: 0.00 μB/f.u.


# 7
The following is a DFT calculation (PBE) of an optimized crystal structure of LiNbOsO6.

```
LiNbOsO6
1.0
4.802 0.000 0.000
0.000 4.802 0.000
0.000 0.000 9.078
Li Nb Os O
2 2 2 12
direct
0.000 0.000 0.000
0.500 0.500 0.500
0.000 0.000 0.670
0.500 0.500 0.170
0.000 0.000 0.327
0.500 0.500 0.827
0.184 0.184 0.489
0.204 0.204 0.182
0.216 0.216 0.815
0.284 0.716 0.315
0.296 0.704 0.682
0.316 0.684 0.989
0.684 0.316 0.989
0.704 0.296 0.682
0.716 0.284 0.315
0.784 0.784 0.815
0.796 0.796 0.182
0.816 0.816 0.489
```

- Energy relative to the elements, uncorrected: -1.731 eV/atom
- Crystal system: tetragonal
- Magnetization: 1.57 μB/f.u.


# 8
The following is a DFT calculation (PBE) of an optimized crystal structure of Li2NbOsO6.

```
Li2NbOsO6
1.0
5.623 0.000 0.000
0.000 5.623 0.000
0.000 0.000 3.882
Li Nb Os O
2 1 1 6
direct
0.000 0.500 0.000
0.500 0.000 0.000
0.000 0.000 0.801
0.500 0.500 0.834
0.000 0.000 0.319
0.253 0.253 0.839
0.253 0.747 0.839
0.500 0.500 0.335
0.747 0.253 0.839
0.747 0.747 0.839
```

- Energy relative to the elements, uncorrected: -1.808 eV/atom
- Crystal system: tetragonal
- Magnetization: 0.20 μB/f.u.


# 9
The following is a DFT calculation (PBE) of an optimized crystal structure of LiNbP4O12.

```
LiNbP4O12
1.0
6.088 -4.285 0.000
6.088 4.285 0.000
-4.985 0.000 9.074
Li Nb P O
2 2 8 24
direct
0.016 0.984 0.750
0.984 0.016 0.250
0.000 0.500 0.500
0.500 0.000 0.000
0.256 0.724 0.025
0.276 0.744 0.475
0.304 0.320 0.806
0.320 0.304 0.306
0.680 0.696 0.694
0.696 0.680 0.194
0.724 0.256 0.525
0.744 0.276 0.975
0.097 0.837 0.094
0.131 0.290 0.320
0.163 0.903 0.406
0.190 0.701 0.570
0.205 0.351 0.656
0.214 0.504 0.927
0.290 0.131 0.820
0.299 0.810 0.930
0.332 0.533 0.351
0.351 0.205 0.156
0.467 0.668 0.149
0.496 0.786 0.573
0.504 0.214 0.427
0.533 0.332 0.851
0.649 0.795 0.844
0.668 0.467 0.649
0.701 0.190 0.070
0.710 0.869 0.180
0.786 0.496 0.073
0.795 0.649 0.344
0.810 0.299 0.430
0.837 0.097 0.594
0.869 0.710 0.680
0.903 0.163 0.906
```

- Energy relative to the elements, uncorrected: -2.129 eV/atom
- Crystal system: monoclinic
- Magnetization: 2.00 μB/f.u.


# 10
The following is a DFT calculation (PBE) of an optimized crystal structure of LiNbP4O12.

```
LiNbP4O12
1.0
8.875 -6.302 0.000
8.875 6.302 0.000
-1.322 0.000 5.330
Li Nb P O
2 2 8 24
direct
0.098 0.098 0.477
0.902 0.902 0.523
0.000 0.500 0.000
0.500 0.000 0.000
0.139 0.704 0.832
0.200 0.435 0.544
0.296 0.861 0.168
0.435 0.200 0.544
0.565 0.800 0.456
0.704 0.139 0.832
0.800 0.565 0.456
0.861 0.296 0.168
0.061 0.814 0.689
0.070 0.660 0.998
0.114 0.399 0.684
0.168 0.420 0.261
0.186 0.939 0.311
0.213 0.579 0.645
0.268 0.732 0.000
0.340 0.930 0.002
0.352 0.352 0.613
0.399 0.114 0.684
0.420 0.168 0.261
0.421 0.787 0.355
0.579 0.213 0.645
0.580 0.832 0.739
0.601 0.886 0.316
0.648 0.648 0.387
0.660 0.070 0.998
0.732 0.268 0.000
0.787 0.421 0.355
0.814 0.061 0.689
0.832 0.580 0.739
0.886 0.601 0.316
0.930 0.340 0.002
0.939 0.186 0.311
```

- Energy relative to the elements, uncorrected: -2.116 eV/atom
- Crystal system: monoclinic
- Magnetization: 2.00 μB/f.u.


# 11
The following is a DFT calculation (PBE) of an optimized crystal structure of LiNbP2O.

```
LiNbP2O
1.0
4.512 0.000 0.000
0.000 4.512 0.000
0.000 0.000 3.298
Li Nb P O
1 1 2 1
direct
0.000 0.000 0.000
0.500 0.500 0.500
0.000 0.500 0.000
0.500 0.000 0.000
0.000 0.000 0.500
```

- Energy relative to the elements, uncorrected: 0.199 eV/atom
- Crystal system: tetragonal
- Magnetization: 0.00 μB/f.u.


# 12
The following is a DFT calculation (PBE) of an optimized crystal structure of LiNb2P3O12.

```
LiNb2P3O12
1.0
8.875 0.000 0.000
0.000 8.967 0.000
-8.771 0.000 12.457
Li Nb P O
4 8 12 48
direct
0.032 0.229 0.318
0.032 0.271 0.818
0.968 0.729 0.182
0.968 0.771 0.682
0.142 0.543 0.388
0.142 0.957 0.888
0.369 0.530 0.119
0.369 0.970 0.619
0.631 0.030 0.381
0.631 0.470 0.881
0.858 0.043 0.112
0.858 0.457 0.612
0.033 0.096 0.645
0.033 0.404 0.145
0.249 0.614 0.647
0.249 0.886 0.147
0.456 0.250 0.494
0.456 0.250 0.994
0.544 0.750 0.006
0.544 0.750 0.506
0.751 0.114 0.853
0.751 0.386 0.353
0.967 0.596 0.855
0.967 0.904 0.355
0.004 0.247 0.177
0.004 0.253 0.677
0.054 0.522 0.227
0.054 0.978 0.727
0.086 0.598 0.657
0.086 0.902 0.157
0.138 0.552 0.966
0.138 0.948 0.466
0.189 0.562 0.534
0.189 0.938 0.034
0.208 0.096 0.647
0.208 0.404 0.147
0.271 0.167 0.919
0.271 0.333 0.419
0.304 0.720 0.165
0.304 0.780 0.665
0.384 0.641 0.438
0.384 0.859 0.938
0.410 0.514 0.731
0.410 0.986 0.231
0.438 0.152 0.570
0.438 0.348 0.070
0.488 0.156 0.421
0.488 0.344 0.921
0.512 0.656 0.079
0.512 0.844 0.579
0.562 0.652 0.930
0.562 0.848 0.430
0.590 0.014 0.769
0.590 0.486 0.269
0.616 0.141 0.062
0.616 0.359 0.562
0.696 0.220 0.335
0.696 0.280 0.835
0.729 0.667 0.581
0.729 0.833 0.081
0.792 0.596 0.853
0.792 0.904 0.353
0.811 0.062 0.966
0.811 0.438 0.466
0.862 0.052 0.534
0.862 0.448 0.034
0.914 0.098 0.843
0.914 0.402 0.343
0.946 0.022 0.273
0.946 0.478 0.773
0.996 0.747 0.323
0.996 0.753 0.823
```

- Energy relative to the elements, uncorrected: -2.316 eV/atom
- Crystal system: monoclinic
- Magnetization: 2.00 μB/f.u.


Q: Which formula does entry 4 have?
A: Li3NbO4


Q: Which of these has the highest energy relative to the elements, uncorrected?
A: LiNbP2O


Q: Which value of energy relative to the elements, uncorrected does entry 4 give?
A: -2.303 eV/atom


Q: Look up the energy relative to the elements, uncorrected of the twelfth one.
A: -2.316 eV/atom